one.
Here is a relaxed Sb2PI crystal from the Alexandria database. Energies are from PBE.

Results
For the density of states at the Fermi level, the calculation gives 0.319 states/eV/atom. The space group is No. 122.

Cell: 6.7732 6.7732 6.7732 Å, 107.13 107.13 114.27°
With the nearest neighbours (Å) after each atom.
Positions (direct):
Sb 0.0645 0.6250 0.9395  2 P 2.69
Sb 0.3750 0.3145 0.4395  2 P 2.69
Sb 0.6855 0.1250 0.0605  2 P 2.69
Sb 0.8750 0.9355 0.5605  2 P 2.69
P 0.0000 0.0000 0.0000  4 Sb 2.69
P 0.7500 0.2500 0.5000  4 Sb 2.69
I 0.2500 0.7500 0.5000  4 Sb 3.34, 2 P 3.68
I 0.5000 0.5000 0.0000  4 Sb 3.34, 2 P 3.68

=====

two.
Here is a relaxed Sb2PI crystal from the Alexandria database. Energies are from PBE.

Results
For the density of states at the Fermi level, the calculation gives 0.641 states/eV/atom. The space group is No. 225.

Cell: 5.2394 5.2394 5.2394 Å, 60.00 60.00 60.00°
With the nearest neighbours (Å) after each atom.
Positions (direct):
Sb 0.2500 0.2500 0.2500  4 I 3.21, 4 P 3.21
Sb 0.7500 0.7500 0.7500  4 I 3.21, 4 P 3.21
P 0.0000 0.0000 0.0000  8 Sb 3.21
I 0.5000 0.5000 0.5000  8 Sb 3.21

=====

Ordering by calculated energy gives the sequence one, two, with the first entry being the most stable.

=====

one.
Here is a relaxed ScSb2PI crystal from the Alexandria database. Energies are from PBE.

Results
For the density of states at the Fermi level, the calculation gives 0.813 states/eV/atom. The space group is No. 123.

Cell: 5.5904 5.5904 5.4867 Å, 90.00 90.00 90.00°
With the nearest neighbours (Å) after each atom.
Positions (direct):
Sc 0.0000 0.0000 0.0000  2 I 2.74, 4 Sb 2.80
Sb 0.0000 0.5000 0.0000  2 Sc 2.80
Sb 0.5000 0.0000 0.0000  2 Sc 2.80
P 0.5000 0.5000 0.5000  8 Sb 3.92, 4 I 3.95
I 0.0000 0.0000 0.5000  2 Sc 2.74

=====

two.
Here is a relaxed ScSb2PI crystal from the Alexandria database. Energies are from PBE.

Results
For the density of states at the Fermi level, the calculation gives 0.933 states/eV/atom. The space group is No. 123.

Cell: 5.2352 5.2352 5.2535 Å, 90.00 90.00 90.00°
With the nearest neighbours (Å) after each atom.
Positions (direct):
Sc 0.0000 0.0000 0.0000  4 I 3.70, 8 Sb 3.71
Sb 0.0000 0.5000 0.5000  2 P 2.62
Sb 0.5000 0.0000 0.5000  2 P 2.62
P 0.5000 0.5000 0.5000  4 Sb 2.62, 2 I 2.63
I 0.5000 0.5000 0.0000  2 P 2.63

=====

Ordering by calculated energy gives the sequence two, one, with the first entry being the most stable.

=====

one.
Here is a relaxed SiSbPI2 crystal from the Alexandria database. Energies are from PBE.

Results
For the density of states at the Fermi level, the calculation gives 0.817 states/eV/atom. The space group is No. 123.

Cell: 5.3379 5.3379 5.0445 Å, 90.00 90.00 90.00°
With the nearest neighbours (Å) after each atom.
Positions (direct):
Si 0.0000 0.0000 0.0000  2 P 2.52
Sb 0.5000 0.5000 0.0000  8 I 3.67, 4 Si 3.77
P 0.0000 0.0000 0.5000  2 Si 2.52, 4 I 2.67
I 0.0000 0.5000 0.5000  2 P 2.67
I 0.5000 0.0000 0.5000  2 P 2.67

=====

two.
Here is a relaxed SiSbPI2 crystal from the Alexandria database. Energies are from PBE.

Results
For the density of states at the Fermi level, the calculation gives 0.630 states/eV/atom. The space group is No. 123.

Cell: 5.3104 5.3104 5.4909 Å, 90.00 90.00 90.00°
With the nearest neighbours (Å) after each atom.
Positions (direct):
Si 0.0000 0.0000 0.0000  4 Sb 3.76, 8 I 3.82
Sb 0.5000 0.5000 0.0000  2 P 2.75
P 0.5000 0.5000 0.5000  4 I 2.66, 2 Sb 2.75
I 0.0000 0.5000 0.5000  2 P 2.66
I 0.5000 0.0000 0.5000  2 P 2.66

=====

Ordering by calculated energy gives the sequence one, two, with the first entry being the most stable.

=====

one.
Here is a relaxed SnSbPI2 crystal from the Alexandria database. Energies are from PBE.

Results
For the density of states at the Fermi level, the calculation gives 0.562 states/eV/atom. The space group is No. 123.

Cell: 5.9585 5.9585 6.0541 Å, 90.00 90.00 90.00°
With the nearest neighbours (Å) after each atom.
Positions (direct):
Sn 0.0000 0.0000 0.0000  4 I 2.98, 2 Sb 3.03
Sb 0.0000 0.0000 0.5000  2 Sn 3.03
P 0.5000 0.5000 0.5000  4 Sb 4.21, 8 I 4.25
I 0.0000 0.5000 0.0000  2 Sn 2.98
I 0.5000 0.0000 0.0000  2 Sn 2.98

=====

two.
Here is a relaxed SnSbPI2 crystal from the Alexandria database. Energies are from PBE.

Results
For the density of states at the Fermi level, the calculation gives 0.606 states/eV/atom. The space group is No. 123.

Cell: 5.3609 5.3609 5.5692 Å, 90.00 90.00 90.00°
With the nearest neighbours (Å) after each atom.
Positions (direct):
Sn 0.0000 0.0000 0.0000  4 Sb 3.79, 8 I 3.87
Sb 0.5000 0.5000 0.0000  2 P 2.78
P 0.5000 0.5000 0.5000  4 I 2.68, 2 Sb 2.78
I 0.0000 0.5000 0.5000  2 P 2.68
I 0.5000 0.0000 0.5000  2 P 2.68

=====

Ordering by calculated energy gives the sequence two, one, with the first entry being the most stable.

=====

one.
Here is a relaxed SrSb2PI crystal from the Alexandria database. Energies are from PBE.

Results
For the density of states at the Fermi level, the calculation gives 0.853 states/eV/atom. The space group is No. 123.

Cell: 5.2970 5.2970 5.6840 Å, 90.00 90.00 90.00°
With the nearest neighbours (Å) after each atom.
Positions (direct):
Sr 0.0000 0.0000 0.0000  4 I 3.75, 8 Sb 3.88
Sb 0.0000 0.5000 0.5000  2 P 2.65
Sb 0.5000 0.0000 0.5000  2 P 2.65
P 0.5000 0.5000 0.5000  4 Sb 2.65, 2 I 2.84
I 0.5000 0.5000 0.0000  2 P 2.84

=====

two.
Here is a relaxed SrSb2PI crystal from the Alexandria database. Energies are from PBE.

Results
For the density of states at the Fermi level, the calculation gives 1.246 states/eV/atom. The space group is No. 123.

Cell: 6.3685 6.3685 6.1985 Å, 90.00 90.00 90.00°
With the nearest neighbours (Å) after each atom.
Positions (direct):
Sr 0.0000 0.0000 0.0000  2 I 3.10, 4 Sb 3.18
Sb 0.0000 0.5000 0.0000  2 Sr 3.18
Sb 0.5000 0.0000 0.0000  2 Sr 3.18
P 0.5000 0.5000 0.5000  8 Sb 4.44, 4 I 4.50
I 0.0000 0.0000 0.5000  2 Sr 3.10

=====

Ordering by calculated energy gives the sequence one, two, with the first entry being the most stable.

=====

one.
Here is a relaxed TcSbPI2 crystal from the Alexandria database. Energies are from PBE.

Results
For the density of states at the Fermi level, the calculation gives 0.488 states/eV/atom. The space group is No. 123.

Cell: 5.3148 5.3148 5.5061 Å, 90.00 90.00 90.00°
With the nearest neighbours (Å) after each atom.
Positions (direct):
Tc 0.0000 0.0000 0.0000  4 Sb 3.76, 8 I 3.83
Sb 0.5000 0.5000 0.0000  2 P 2.75
P 0.5000 0.5000 0.5000  4 I 2.66, 2 Sb 2.75
I 0.0000 0.5000 0.5000  2 P 2.66
I 0.5000 0.0000 0.5000  2 P 2.66

=====

two.
Here is a relaxed TcSbPI2 crystal from the Alexandria database. Energies are from PBE.

Results
For the density of states at the Fermi level, the calculation gives 1.458 states/eV/atom. The space group is No. 123.

Cell: 5.2904 5.2904 5.2035 Å, 90.00 90.00 90.00°
With the nearest neighbours (Å) after each atom.
Positions (direct):
Tc 0.0000 0.0000 0.0000  2 Sb 2.60, 4 I 2.65
Sb 0.0000 0.0000 0.5000  2 Tc 2.60
P 0.5000 0.5000 0.5000  8 I 3.71, 4 Sb 3.74
I 0.0000 0.5000 0.0000  2 Tc 2.65
I 0.5000 0.0000 0.0000  2 Tc 2.65

=====

Ordering by calculated energy gives the sequence two, one, with the first entry being the most stable.

=====

one.
Here is a relaxed Sb2TePI crystal from the Alexandria database. Energies are from PBE.

Results
For the density of states at the Fermi level, the calculation gives 1.516 states/eV/atom. The space group is No. 123.

Cell: 5.8230 5.8230 5.5971 Å, 90.00 90.00 90.00°
With the nearest neighbours (Å) after each atom.
Positions (direct):
Sb 0.0000 0.5000 0.0000  2 I 2.91
Sb 0.5000 0.0000 0.0000  2 I 2.91
Te 0.0000 0.0000 0.5000  2 I 2.80
P 0.5000 0.5000 0.5000  8 Sb 4.04, 4 Te 4.12
I 0.0000 0.0000 0.0000  2 Te 2.80, 4 Sb 2.91

=====

two.
Here is a relaxed Sb2TePI crystal from the Alexandria database. Energies are from PBE.

Results
For the density of states at the Fermi level, the calculation gives 0.947 states/eV/atom. The space group is No. 123.

Cell: 5.3629 5.3629 5.2978 Å, 90.00 90.00 90.00°
With the nearest neighbours (Å) after each atom.
Positions (direct):
Sb 0.0000 0.5000 0.0000  2 P 2.68
Sb 0.5000 0.0000 0.0000  2 P 2.68
Te 0.0000 0.0000 0.5000  2 P 2.65
P 0.0000 0.0000 0.0000  2 Te 2.65, 4 Sb 2.68
I 0.5000 0.5000 0.5000  8 Sb 3.77, 4 Te 3.79

=====

three.
Here is a relaxed Sb2TePI crystal from the Alexandria database. Energies are from PBE.

Results
For the density of states at the Fermi level, the calculation gives 1.104 states/eV/atom. The space group is No. 123.

Cell: 5.4053 5.4053 5.1947 Å, 90.00 90.00 90.00°
With the nearest neighbours (Å) after each atom.
Positions (direct):
Sb 0.0000 0.5000 0.0000  2 P 2.70
Sb 0.5000 0.0000 0.0000  2 P 2.70
Te 0.0000 0.0000 0.5000  8 Sb 3.75, 4 I 3.82
P 0.5000 0.5000 0.0000  2 I 2.60, 4 Sb 2.70
I 0.5000 0.5000 0.5000  2 P 2.60

=====

Ordering by calculated energy gives the sequence two, three, one, with the first entry being the most stable.

=====

one.
Here is a relaxed VSbPI2 crystal from the Alexandria database. Energies are from PBE.

Results
For the density of states at the Fermi level, the calculation gives 1.920 states/eV/atom. The space group is No. 123.

Cell: 5.2827 5.2827 5.4349 Å, 90.00 90.00 90.00°
With the nearest neighbours (Å) after each atom.
Positions (direct):
V 0.0000 0.0000 0.0000  4 Sb 3.74, 8 I 3.79
Sb 0.5000 0.5000 0.0000  2 P 2.72
P 0.5000 0.5000 0.5000  4 I 2.64, 2 Sb 2.72
I 0.0000 0.5000 0.5000  2 P 2.64
I 0.5000 0.0000 0.5000  2 P 2.64

=====

two.
Here is a relaxed VSbPI2 crystal from the Alexandria database. Energies are from PBE.

Results
For the density of states at the Fermi level, the calculation gives 1.049 states/eV/atom. The space group is No. 123.

Cell: 5.1544 5.1544 5.5865 Å, 90.00 90.00 90.00°
With the nearest neighbours (Å) after each atom.
Positions (direct):
V 0.0000 0.0000 0.0000  4 I 2.58, 2 Sb 2.79
Sb 0.0000 0.0000 0.5000  2 V 2.79
P 0.5000 0.5000 0.5000  4 Sb 3.64, 8 I 3.80
I 0.0000 0.5000 0.0000  2 V 2.58
I 0.5000 0.0000 0.0000  2 V 2.58

=====

Ordering by calculated energy gives the sequence two, one, with the first entry being the most stable.